No. 1
KCaZn2H6: optimized geometry, PBE.

Properties
magnetic moment: 0.0 Bohr magnetons per cell
crystal system: monoclinic
total energy: -54.668 eV/cell
symmetry: C2/c (15)

Cell lengths 6.6090, 6.6090, 6.4394 Å; angles 100.68, 100.68, 105.04 degrees
Sites, in units of the cell vectors:
K 0.1940 0.8060 0.7500
K 0.8060 0.1940 0.2500
Ca 0.4109 0.5891 0.2500
Ca 0.5891 0.4109 0.7500
Zn 0.0875 0.2661 0.7885
Zn 0.2661 0.0875 0.2885
Zn 0.7339 0.9125 0.7115
Zn 0.9125 0.7339 0.2115
H 0.0794 0.5936 0.2963
H 0.1513 0.1920 0.0673
H 0.1920 0.1513 0.5673
H 0.3164 0.4905 0.8872
H 0.4064 0.9206 0.2037
H 0.4905 0.3164 0.3872
H 0.5095 0.6836 0.6128
H 0.5936 0.0794 0.7963
H 0.6836 0.5095 0.1128
H 0.8080 0.8487 0.4327
H 0.8487 0.8080 0.9327
H 0.9206 0.4064 0.7037

No. 2
Lu3GaH: optimized geometry, PBE.

Properties
magnetic moment: 1.3 Bohr magnetons per cell
crystal system: cubic
total energy: -21.438 eV/cell
symmetry: Pm-3m (221)

Cell lengths 4.6279, 4.6279, 4.6279 Å; angles 90.00, 90.00, 90.00 degrees
Sites, in units of the cell vectors:
Lu 0.0000 0.0000 0.5000
Lu 0.0000 0.5000 0.0000
Lu 0.5000 0.0000 0.0000
Ga 0.5000 0.5000 0.5000
H 0.0000 0.0000 0.0000

No. 3
Ac5LaGe3: optimized geometry, PBE.

Properties
magnetic moment: 2.8 Bohr magnetons per cell
crystal system: monoclinic
total energy: -85.029 eV/cell
symmetry: C2/m (12)

Cell lengths 8.4449, 8.4449, 11.3196 Å; angles 105.27, 105.27, 75.08 degrees
Sites, in units of the cell vectors:
Ac 0.0242 0.0242 0.3321
Ac 0.1213 0.5126 0.3619
Ac 0.1974 0.8026 0.0000
Ac 0.2566 0.2566 0.9362
Ac 0.4874 0.8787 0.6381
Ac 0.5126 0.1213 0.3619
Ac 0.7434 0.7434 0.0638
Ac 0.8026 0.1974 0.0000
Ac 0.8787 0.4874 0.6381
Ac 0.9758 0.9758 0.6679
La 0.4372 0.4372 0.7219
La 0.5628 0.5628 0.2781
Ge 0.1742 0.1742 0.1644
Ge 0.2022 0.2022 0.5928
Ge 0.5000 0.5000 0.0000
Ge 0.5000 0.5000 0.5000
Ge 0.7978 0.7978 0.4072
Ge 0.8258 0.8258 0.8356

No. 4
Ga3TcC: optimized geometry, PBE.

Properties
magnetic moment: 0.5 Bohr magnetons per cell
crystal system: cubic
energy above the lowest structure with this stoichiometry: 0 meV/atom
symmetry: Pm-3m (221)

Cell lengths 4.1686, 4.1686, 4.1686 Å; angles 90.00, 90.00, 90.00 degrees
Sites, in units of the cell vectors:
Ga 0.0000 0.0000 0.5000
Ga 0.0000 0.5000 0.0000
Ga 0.5000 0.0000 0.0000
Tc 0.5000 0.5000 0.5000
C 0.0000 0.0000 0.0000

No. 5
TlPPd2: optimized geometry, PBE.

Properties
magnetic moment: 0.0 Bohr magnetons per cell
crystal system: tetragonal
energy above the lowest structure with this stoichiometry: 200 meV/atom
symmetry: I-42d (122)

Cell lengths 8.2377, 8.2377, 8.2377 Å; angles 146.06, 146.06, 48.76 degrees
Sites, in units of the cell vectors:
Tl 0.0000 0.0000 0.0000
Tl 0.7500 0.2500 0.5000
P 0.2500 0.7500 0.5000
P 0.5000 0.5000 0.0000
Pd 0.2321 0.6250 0.1071
Pd 0.3750 0.4821 0.6071
Pd 0.5179 0.1250 0.8929
Pd 0.8750 0.7679 0.3929

No. 6
KBaSe2: optimized geometry, PBE.

Properties
magnetic moment: 0.8 Bohr magnetons per cell
crystal system: cubic
ΔE_f (raw): -1266 meV/atom
symmetry: Fm-3m (225)

Cell lengths 5.6328, 5.6328, 5.6328 Å; angles 60.00, 60.00, 60.00 degrees
Sites, in units of the cell vectors:
K 0.0000 0.0000 0.0000
Ba 0.5000 0.5000 0.5000
Se 0.2500 0.2500 0.2500
Se 0.7500 0.7500 0.7500

No. 7
Ni2AgCl: optimized geometry, PBE.

Properties
magnetic moment: 0.0 Bohr magnetons per cell
crystal system: orthorhombic
energy above the lowest structure with this stoichiometry: 369 meV/atom
ΔE_f (raw): 515 meV/atom
symmetry: Cmmm (65)

Cell lengths 4.4728, 4.4728, 2.8998 Å; angles 90.00, 90.00, 90.16 degrees
Sites, in units of the cell vectors:
Ni 0.0000 0.5000 0.0000
Ni 0.5000 0.0000 0.0000
Ag 0.0000 0.0000 0.5000
Cl 0.5000 0.5000 0.5000

No. 8
Tl2CdBr: optimized geometry, PBE.

Properties
magnetic moment: 0.0 Bohr magnetons per cell
crystal system: trigonal
energy above the lowest structure with this stoichiometry: 42 meV/atom
ΔE_f (raw): -253 meV/atom
symmetry: R3m (160)

Cell lengths 9.8410, 9.8410, 9.8410 Å; angles 22.57, 22.57, 22.57 degrees
Sites, in units of the cell vectors:
Tl 0.0000 0.0000 0.0000
Tl 0.2383 0.2383 0.2383
Cd 0.7471 0.7471 0.7471
Br 0.4827 0.4827 0.4827

No. 9
BaLiZnRu2: optimized geometry, PBE.

Properties
magnetic moment: 2.3 Bohr magnetons per cell
crystal system: tetragonal
total energy: -20.386 eV/cell
symmetry: P4/mmm (123)

Cell lengths 4.8078, 4.8078, 4.7262 Å; angles 90.00, 90.00, 90.00 degrees
Sites, in units of the cell vectors:
Ba 0.0000 0.0000 0.0000
Li 0.5000 0.5000 0.0000
Zn 0.5000 0.5000 0.5000
Ru 0.0000 0.5000 0.5000
Ru 0.5000 0.0000 0.5000

No. 10
BaCeBi2: optimized geometry, PBE.

Properties
magnetic moment: 0.9 Bohr magnetons per cell
crystal system: cubic
energy above the lowest structure with this stoichiometry: 211 meV/atom
symmetry: Fm-3m (225)

Cell lengths 5.8587, 5.8587, 5.8587 Å; angles 60.00, 60.00, 60.00 degrees
Sites, in units of the cell vectors:
Ba 0.0000 0.0000 0.0000
Ce 0.5000 0.5000 0.5000
Bi 0.2500 0.2500 0.2500
Bi 0.7500 0.7500 0.7500

No. 11
NaErCu10: optimized geometry, PBE.

Properties
magnetic moment: 0.0 Bohr magnetons per cell
crystal system: orthorhombic
total energy: -47.546 eV/cell
symmetry: Pmmm (47)

Cell lengths 4.0606, 5.0251, 8.6993 Å; angles 90.00, 90.00, 90.00 degrees
Sites, in units of the cell vectors:
Na 0.0000 0.0000 0.0000
Er 0.0000 0.5000 0.5000
Cu 0.0000 0.0000 0.3314
Cu 0.0000 0.0000 0.6686
Cu 0.0000 0.5000 0.1659
Cu 0.0000 0.5000 0.8341
Cu 0.5000 0.0000 0.5000
Cu 0.5000 0.2556 0.2555
Cu 0.5000 0.2556 0.7445
Cu 0.5000 0.5000 0.0000
Cu 0.5000 0.7444 0.2555
Cu 0.5000 0.7444 0.7445

No. 12
NbPbN2F: optimized geometry, PBE.

Properties
magnetic moment: 2.0 Bohr magnetons per cell
crystal system: tetragonal
ΔE_f (raw): 1048 meV/atom
symmetry: P4/mmm (123)

Cell lengths 4.2785, 4.2785, 4.1208 Å; angles 90.00, 90.00, 90.00 degrees
Sites, in units of the cell vectors:
Nb 0.0000 0.0000 0.0000
Pb 0.5000 0.5000 0.5000
N 0.0000 0.5000 0.5000
N 0.5000 0.0000 0.5000
F 0.5000 0.5000 0.0000

No. 13
La2PmScP4: optimized geometry, PBE.

Properties
magnetic moment: 0.0 Bohr magnetons per cell
crystal system: monoclinic
total energy: -54.542 eV/cell
symmetry: P2/m (10)

Cell lengths 7.1249, 4.1252, 7.1250 Å; angles 90.00, 109.48, 90.00 degrees
Sites, in units of the cell vectors:
La 0.0000 0.0000 0.0000
La 0.0000 0.5000 0.5000
Pm 0.5000 0.0000 0.5000
Sc 0.5000 0.5000 0.0000
P 0.2640 0.5000 0.2448
P 0.2705 0.0000 0.7665
P 0.7295 0.0000 0.2335
P 0.7360 0.5000 0.7552

No. 14
TiRh3Br: optimized geometry, PBE.

Properties
magnetic moment: 0.0 Bohr magnetons per cell
crystal system: cubic
energy above the lowest structure with this stoichiometry: 89 meV/atom
ΔE_f (raw): 906 meV/atom
symmetry: Pm-3m (221)

Cell lengths 4.5675, 4.5675, 4.5675 Å; angles 90.00, 90.00, 90.00 degrees
Sites, in units of the cell vectors:
Ti 0.0000 0.0000 0.0000
Rh 0.0000 0.5000 0.5000
Rh 0.5000 0.0000 0.5000
Rh 0.5000 0.5000 0.0000
Br 0.5000 0.5000 0.5000

No. 15
ScBe2CuRh: optimized geometry, PBE.

Properties
magnetic moment: 0.0 Bohr magnetons per cell
crystal system: tetragonal
total energy: -17.710 eV/cell
symmetry: P4/mmm (123)

Cell lengths 4.6371, 4.6371, 4.4978 Å; angles 90.00, 90.00, 90.00 degrees
Sites, in units of the cell vectors:
Sc 0.0000 0.0000 0.0000
Be 0.0000 0.5000 0.0000
Be 0.5000 0.0000 0.0000
Cu 0.5000 0.5000 0.5000
Rh 0.0000 0.0000 0.5000

No. 16
BaLiHg2: optimized geometry, PBE.

Properties
magnetic moment: 0.0 Bohr magnetons per cell
crystal system: orthorhombic
total energy: -5.573 eV/cell
symmetry: Pmm2 (25)

Cell lengths 4.0887, 4.1018, 7.2924 Å; angles 90.00, 90.00, 90.00 degrees
Sites, in units of the cell vectors:
Ba 0.0000 0.0000 0.0000
Li 0.5000 0.5000 0.6302
Hg 0.0000 0.0000 0.5199
Hg 0.5000 0.5000 0.2551

No. 17
NaGa2Pd2: optimized geometry, PBE.

Properties
magnetic moment: 0.0 Bohr magnetons per cell
crystal system: tetragonal
energy above the lowest structure with this stoichiometry: 61 meV/atom
symmetry: I4/mmm (139)

Cell lengths 6.2240, 6.2240, 6.2240 Å; angles 141.21, 141.21, 56.02 degrees
Sites, in units of the cell vectors:
Na 0.0000 0.0000 0.0000
Ga 0.3824 0.3824 0.0000
Ga 0.6176 0.6176 0.0000
Pd 0.2500 0.7500 0.5000
Pd 0.7500 0.2500 0.5000

No. 18
TiHg2Br: optimized geometry, PBE.

Properties
magnetic moment: 2.7 Bohr magnetons per cell
crystal system: cubic
energy above the lowest structure with this stoichiometry: 370 meV/atom
ΔE_f (raw): 383 meV/atom
symmetry: Fm-3m (225)

Cell lengths 5.2443, 5.2443, 5.2443 Å; angles 60.00, 60.00, 60.00 degrees
Sites, in units of the cell vectors:
Ti 0.0000 0.0000 0.0000
Hg 0.2500 0.2500 0.2500
Hg 0.7500 0.7500 0.7500
Br 0.5000 0.5000 0.5000

No. 19
PrPu2Os: optimized geometry, PBE.

Properties
magnetic moment: 10.3 Bohr magnetons per cell
crystal system: tetragonal
energy above the lowest structure with this stoichiometry: 97 meV/atom
symmetry: P4/mmm (123)

Cell lengths 3.5000, 3.5000, 8.2402 Å; angles 90.00, 90.00, 90.00 degrees
Sites, in units of the cell vectors:
Pr 0.0000 0.0000 0.0000
Pu 0.5000 0.5000 0.3104
Pu 0.5000 0.5000 0.6896
Os 0.0000 0.0000 0.5000

No. 20
AcCd3Ag3: optimized geometry, PBE.

Properties
magnetic moment: 0.0 Bohr magnetons per cell
crystal system: monoclinic
energy above the lowest structure with this stoichiometry: 0 meV/atom
symmetry: P2_1/m (11)

Cell lengths 7.1964, 4.9021, 9.8038 Å; angles 90.00, 105.73, 90.00 degrees
Sites, in units of the cell vectors:
Ac 0.1390 0.2500 0.2793
Ac 0.8610 0.7500 0.7207
Cd 0.1794 0.2500 0.9044
Cd 0.4461 0.7500 0.8635
Cd 0.4968 0.2500 0.6711
Cd 0.5032 0.7500 0.3289
Cd 0.5539 0.2500 0.1365
Cd 0.8206 0.7500 0.0956
Ag 0.0845 0.2500 0.5984
Ag 0.2179 0.7500 0.0619
Ag 0.3058 0.7500 0.5555
Ag 0.6942 0.2500 0.4445
Ag 0.7821 0.2500 0.9381
Ag 0.9155 0.7500 0.4016